# Rb2TlTe3 PBE relaxed
# N(E_F): 0.57 states/eV per atom
# total DFT energy (no corrections): -2.74 eV/atom
data_Rb2TlTe3
_symmetry_space_group_name_H-M 'P -3 m 1'
_symmetry_Int_Tables_number 164
_symmetry_space_group_name_Hall '-P 3 2"'
_cell_length_a 8.3133
_cell_length_b 8.3133
_cell_length_c 12.6489
_cell_angle_alpha 90.00
_cell_angle_beta 90.00
_cell_angle_gamma 120.00
loop_
_atom_site_label
_atom_site_type_symbol
_atom_site_fract_x
_atom_site_fract_y
_atom_site_fract_z
Rb1 Rb 0.0000 0.0000 0.0000
Rb2 Rb 0.0000 0.0000 0.5000
Rb3 Rb 0.3333 0.6667 0.2494
Tl1 Tl 0.3333 0.6667 0.7503
Te1 Te 0.1361 0.2721 0.7501



# RbTl6Te4 PBE relaxed
# N(E_F): 0.21 states/eV per atom
# energy relative to the lowest polymorph listed for this composition: 0.000 eV per atom
data_RbTl6Te4
_symmetry_space_group_name_H-M 'C 1 m 1'
_symmetry_Int_Tables_number 8
_cell_length_a 11.551
_cell_length_b 13.303
_cell_length_c 7.975
_cell_angle_alpha 90.00
_cell_angle_beta 130.64
_cell_angle_gamma 90.00
loop_
_symmetry_equiv_pos_as_xyz
'x,y,z'
'x,-y,z'
'x+1/2,y+1/2,z'
'x+1/2,-y+1/2,z'
loop_
_atom_site_label
_atom_site_type_symbol
_atom_site_fract_x
_atom_site_fract_y
_atom_site_fract_z
Rb1 Rb 0.000 0.000 0.000
Tl1 Tl 0.216 0.254 0.512
Tl2 Tl 0.270 0.500 0.261
Tl3 Tl 0.347 0.148 0.023
Tl4 Tl 0.476 0.000 0.725
Te1 Te 0.096 0.265 0.998
Te2 Te 0.099 0.500 0.457
Te3 Te 0.136 0.000 0.595



# RbTl3Te PBE relaxed
# N(E_F): 0.63 states/eV per atom
# energy relative to the lowest polymorph listed for this composition: 0.548 eV per atom
data_RbTl3Te
_symmetry_space_group_name_H-M 'P m -3 m'
_symmetry_Int_Tables_number 221
_symmetry_space_group_name_Hall '-P 4 2 3'
_cell_length_a 6.360
_cell_length_b 6.360
_cell_length_c 6.360
_cell_angle_alpha 90.00
_cell_angle_beta 90.00
_cell_angle_gamma 90.00
loop_
_atom_site_label
_atom_site_type_symbol
_atom_site_fract_x
_atom_site_fract_y
_atom_site_fract_z
Rb1 Rb 0.000 0.000 0.000
Tl1 Tl 0.000 0.000 0.500
Te1 Te 0.500 0.500 0.500



# RbTl4Te2 PBE relaxed
# N(E_F): 0.30 states/eV per atom
# total DFT energy (no corrections): -2.75 eV/atom
data_RbTl4Te2
_symmetry_space_group_name_H-M 'P 42/m n m'
_symmetry_Int_Tables_number 136
_symmetry_space_group_name_Hall '-P 4n 2n'
_cell_length_a 9.693
_cell_length_b 9.693
_cell_length_c 5.674
_cell_angle_alpha 90.00
_cell_angle_beta 90.00
_cell_angle_gamma 90.00
loop_
_atom_site_label
_atom_site_type_symbol
_atom_site_fract_x
_atom_site_fract_y
_atom_site_fract_z
Rb1 Rb 0.000 0.000 0.000
Tl1 Tl 0.099 0.350 0.500
Te1 Te 0.205 0.795 0.500



# RbTl12Te7 PBE relaxed
# N(E_F): 0.69 states/eV per atom
# total DFT energy (no corrections): -2.83 eV/atom
data_RbTl12Te7
_symmetry_space_group_name_H-M 'R -3'
_symmetry_Int_Tables_number 148
_symmetry_space_group_name_Hall '-R 3'
_cell_length_a 19.6385
_cell_length_b 19.6385
_cell_length_c 7.6076
_cell_angle_alpha 90.00
_cell_angle_beta 90.00
_cell_angle_gamma 120.00
loop_
_atom_site_label
_atom_site_type_symbol
_atom_site_fract_x
_atom_site_fract_y
_atom_site_fract_z
Rb1 Rb 0.0000 0.0000 0.0000
Tl1 Tl 0.0406 0.2788 0.8921
Tl2 Tl 0.0628 0.8856 0.3470
Te1 Te 0.0000 0.0000 0.5000
Te2 Te 0.0594 0.8523 0.7747



# RbTlTe2 PBE relaxed
# N(E_F): 0.66 states/eV per atom
# total DFT energy (no corrections): -2.49 eV/atom
data_RbTlTe2
_symmetry_space_group_name_H-M 'R -3 m'
_symmetry_Int_Tables_number 166
_symmetry_space_group_name_Hall '-R 3 2"'
_cell_length_a 3.5829
_cell_length_b 3.5829
_cell_length_c 38.3943
_cell_angle_alpha 90.00
_cell_angle_beta 90.00
_cell_angle_gamma 120.00
loop_
_atom_site_label
_atom_site_type_symbol
_atom_site_fract_x
_atom_site_fract_y
_atom_site_fract_z
Rb1 Rb 0.0000 0.0000 0.0000
Tl1 Tl 0.0000 0.0000 0.5000
Te1 Te 0.0000 0.0000 0.4103